Computed, not measured: an optimized crystal structure of AcDyNiPt at the PBE level of DFT.

The structure in POSCAR format:
```
AcDyNiPt
1.0
-4.499 2.232 0.877
-4.219 -1.812 -2.216
-3.527 -2.388 2.802
Ac Pt Ni Dy
1 1 1 1
Direct
0.000 0.000 0.000
0.250 0.250 0.250
0.750 0.750 0.750
0.500 0.500 0.500
```

- ΔH_f (0 K): -0.609 eV/atom
- Calculated total energy: -5.74 eV per atom
- SG: No. 216
- Magnetization: 0.00 μB/f.u.